# 1
The following is a SCAN calculation of a PBEsol-optimized structure of Na2LaTaIn, from the Alexandria database.

Structure (extended XYZ):
```
5
Lattice="5.393 0.000 0.000 0.000 5.393 0.000 0.000 0.000 5.371" Properties=species:S:1:pos:R:3 pbc="T T T"
Na 0.000 2.697 0.000
Na 2.697 0.000 0.000
La 0.000 0.000 2.686
Ta 2.697 2.697 0.000
In 2.697 2.697 2.686
```

Output
- electronic total energy (eV/f.u.) = -146.59
- total magnetization (μB per atom) = 0.54

---

# 2
The following is a SCAN calculation of a PBEsol-optimized structure of LaNb2In2, from the Alexandria database.

Structure (extended XYZ):
```
5
Lattice="-2.056 2.056 6.892 2.056 -2.056 6.892 2.056 2.056 -6.892" Properties=species:S:1:pos:R:3 pbc="T T T"
La 0.000 0.000 0.000
Nb 2.056 0.000 3.446
Nb 0.000 2.056 3.446
In 0.000 0.000 5.462
In 0.000 0.000 8.322
```

Output
- electronic total energy (eV/f.u.) = -177.04
- total magnetization (μB per atom) = 0.00

---

# 3
The following is a SCAN calculation of a PBEsol-optimized structure of LaInNi2, from the Alexandria database.

Structure (extended XYZ):
```
4
Lattice="3.972 0.000 0.000 0.000 1.930 4.815 0.000 -1.930 4.815" Properties=species:S:1:pos:R:3 pbc="T T T"
La 0.000 0.000 0.000
In 1.986 0.000 6.834
Ni 0.000 0.000 2.638
Ni 1.986 0.000 4.032
```

Output
- electronic total energy (eV/f.u.) = -110.13
- total magnetization (μB per atom) = 0.00

---

# 4
The following is a SCAN calculation of a PBEsol-optimized structure of LaIn2Ni9, from the Alexandria database.

Structure (extended XYZ):
```
24
Lattice="8.190 0.000 0.000 0.000 8.190 0.000 0.000 0.000 4.803" Properties=species:S:1:pos:R:3 pbc="T T T"
La 0.000 0.000 0.000
La 4.095 4.095 0.000
In 1.011 3.084 0.000
In 3.084 7.179 0.000
In 5.106 1.011 0.000
In 7.179 5.106 0.000
Ni 0.000 4.095 2.401
Ni 0.539 1.717 2.401
Ni 1.443 5.538 1.202
Ni 1.443 5.538 3.601
Ni 1.717 7.651 2.401
Ni 2.378 3.556 2.401
Ni 2.652 1.443 1.202
Ni 2.652 1.443 3.601
Ni 3.556 5.812 2.401
Ni 4.095 0.000 2.401
Ni 4.634 2.378 2.401
Ni 5.538 6.747 1.202
Ni 5.538 6.747 3.601
Ni 5.812 4.634 2.401
Ni 6.473 0.539 2.401
Ni 6.747 2.652 1.202
Ni 6.747 2.652 3.601
Ni 7.651 6.473 2.401
```

Output
- electronic total energy (eV/f.u.) = -257.55
- total magnetization (μB per atom) = 0.33

---

# 5
The following is a SCAN calculation of a PBEsol-optimized structure of LaIn2Ni, from the Alexandria database.

Structure (extended XYZ):
```
4
Lattice="2.551 -4.070 0.000 2.551 4.070 0.000 0.000 0.000 4.457" Properties=species:S:1:pos:R:3 pbc="T T T"
La 0.000 0.000 0.000
In 2.551 1.407 2.228
In 2.551 -1.407 2.228
Ni 2.551 0.000 0.000
```

Output
- electronic total energy (eV/f.u.) = -128.16
- total magnetization (μB per atom) = 0.00

---

# 6
The following is a SCAN calculation of a PBEsol-optimized structure of LaIn6Ni3, from the Alexandria database.

Structure (extended XYZ):
```
20
Lattice="4.341 0.000 0.000 0.000 7.521 0.000 0.000 0.000 12.011" Properties=species:S:1:pos:R:3 pbc="T T T"
La 1.085 1.880 2.127
La 3.255 5.641 9.884
In 1.085 0.388 11.003
In 1.085 1.880 5.867
In 1.085 3.373 11.003
In 1.085 4.093 7.941
In 1.085 5.641 2.998
In 1.085 7.189 7.941
In 3.255 0.332 4.070
In 3.255 1.880 9.012
In 3.255 3.428 4.070
In 3.255 4.149 1.007
In 3.255 5.641 6.144
In 3.255 7.133 1.007
Ni 1.085 4.332 5.227
Ni 1.085 5.641 0.413
Ni 1.085 6.950 5.227
Ni 3.255 0.571 6.784
Ni 3.255 1.880 11.598
Ni 3.255 3.189 6.784
```

Output
- electronic total energy (eV/f.u.) = -295.46
- total magnetization (μB per atom) = 0.00

---

Please write out number 3 again, unchanged.
The following is a SCAN calculation of a PBEsol-optimized structure of LaInNi2, from the Alexandria database.

Structure (extended XYZ):
```
4
Lattice="3.972 0.000 0.000 0.000 1.930 4.815 0.000 -1.930 4.815" Properties=species:S:1:pos:R:3 pbc="T T T"
La 0.000 0.000 0.000
In 1.986 0.000 6.834
Ni 0.000 0.000 2.638
Ni 1.986 0.000 4.032
```

Output
- electronic total energy (eV/f.u.) = -110.13
- total magnetization (μB per atom) = 0.00

---

Question: What is the formula in the first record?
Answer: Na2LaTaIn

---

Question: Which value of total magnetization does entry 2 give?
Answer: 0.00 μB per atom